CdCoOF2 | PBE+U | relaxed

The energy above the most stable polymorph in this dataset is 0.000 eV per atom. Its total energy is -4.27 eV per atom. The crystal system is tetragonal.

The structure belongs to space group P4/mmm (No. 123); the cell edges are 4.103, 4.103 and 3.776 Å and the angles 90.00°, 90.00° and 90.00°. Symmetry generates all atoms from Cd at (0.000, 0.000, 0.000), Co at (0.500, 0.500, 0.500), O at (0.500, 0.500, 0.000) and F at (0.000, 0.500, 0.500).